Record 1
First-principles (PBEsol) data for an optimized crystal structure of RbB3Pt, as listed in Alexandria. Values from VASP.

```
&SYSTEM
  ibrav = 0, nat = 5, ntyp = 3
/
ATOMIC_SPECIES
B 10.81 B.upf
Rb 85.47 Rb.upf
Pt 195.08 Pt.upf
CELL_PARAMETERS angstrom
-0.036 -0.928 4.113
-3.420 -2.400 -0.571
2.467 -3.341 -0.733
ATOMIC_POSITIONS angstrom
B -1.710 -1.200 -0.286
B 1.233 -1.670 -0.366
B -0.018 -0.464 2.057
Rb -0.494 -3.335 1.405
Pt 0.000 0.000 0.000
```

Results
The calculation puts the density of states at the Fermi level at 2.7 states/eV/f.u. The calculation puts the formation energy from the elements at 1077 meV per atom. The value obtained for the energy above the lowest structure with this stoichiometry is 0 meV/atom. Its total energy is -23.65 eV per cell.

Record 2
First-principles (PBEsol) data for an optimized crystal structure of Rb, as listed in Alexandria. Values from VASP.

```
&SYSTEM
  ibrav = 0, nat = 8, ntyp = 1
/
ATOMIC_SPECIES
Rb 85.47 Rb.upf
CELL_PARAMETERS angstrom
8.810 0.000 0.000
0.000 8.810 0.000
0.000 0.000 8.810
ATOMIC_POSITIONS angstrom
Rb 0.000 0.000 0.000
Rb 4.405 2.203 0.000
Rb 4.405 6.608 0.000
Rb 0.000 4.405 2.203
Rb 2.203 0.000 4.405
Rb 6.608 0.000 4.405
Rb 4.405 4.405 4.405
Rb 0.000 4.405 6.608
```

Results
The calculation puts the density of states at the Fermi level at 0.9 states/eV/f.u. The calculation puts the formation energy from the elements at 11 meV per atom. The value obtained for the energy above the lowest structure with this stoichiometry is 11 meV/atom. Its total energy is -8.12 eV per cell.

Record 3
First-principles (PBEsol) data for an optimized crystal structure of K2CaBe, as listed in Alexandria. Values from VASP.

```
&SYSTEM
  ibrav = 0, nat = 4, ntyp = 3
/
ATOMIC_SPECIES
Be 9.01 Be.upf
Ca 40.08 Ca.upf
K 39.10 K.upf
CELL_PARAMETERS angstrom
4.144 0.003 0.000
-0.418 5.471 0.000
-1.863 -2.737 6.570
ATOMIC_POSITIONS angstrom
Be -0.209 2.735 0.000
Ca 2.072 0.001 0.000
K 0.931 1.368 3.285
K -0.931 -1.368 3.285
```

Results
The calculation puts the density of states at the Fermi level at 3.5 states/eV/f.u. The calculation puts the formation energy from the elements at 737 meV per atom. Its total energy is -5.45 eV per cell.

Record 4
First-principles (PBEsol) data for an optimized crystal structure of CuPt2W, as listed in Alexandria. Values from VASP.

```
&SYSTEM
  ibrav = 0, nat = 4, ntyp = 3
/
ATOMIC_SPECIES
Pt 195.08 Pt.upf
W 183.84 W.upf
Cu 63.55 Cu.upf
CELL_PARAMETERS angstrom
-0.492 -1.268 2.407
1.132 -2.319 -0.990
6.637 2.172 2.502
ATOMIC_POSITIONS angstrom
Pt 4.934 1.614 1.860
Pt 1.703 0.557 0.642
W 0.320 -1.794 0.708
Cu 3.638 -0.708 1.959
```

Results
The calculation puts the density of states at the Fermi level at 2.2 states/eV/f.u. The calculation puts the formation energy from the elements at -274 meV per atom. The value obtained for the energy above the lowest structure with this stoichiometry is 0 meV/atom. Its total energy is -33.17 eV per cell.

Record 5
First-principles (PBEsol) data for an optimized crystal structure of Mg4CrHg, as listed in Alexandria. Values from VASP.

```
&SYSTEM
  ibrav = 0, nat = 6, ntyp = 3
/
ATOMIC_SPECIES
Cr 52.00 Cr.upf
Hg 200.59 Hg.upf
Mg 24.30 Mg.upf
CELL_PARAMETERS angstrom
-5.551 0.006 0.975
-2.172 -3.391 3.943
-2.018 2.178 4.790
ATOMIC_POSITIONS angstrom
Cr -7.305 -0.905 7.280
Hg 0.000 0.000 0.000
Mg -3.653 -0.453 3.641
Mg -4.662 0.636 6.034
Mg -6.427 -0.450 4.128
Mg -4.739 -2.147 5.611
```

Results
The calculation puts the density of states at the Fermi level at 2.7 states/eV/f.u. The calculation puts the formation energy from the elements at 352 meV per atom. Its total energy is -15.57 eV per cell.

Record 6
First-principles (PBEsol) data for an optimized crystal structure of LaCdAg2, as listed in Alexandria. Values from VASP.

```
&SYSTEM
  ibrav = 0, nat = 4, ntyp = 3
/
ATOMIC_SPECIES
La 138.91 La.upf
Ag 107.87 Ag.upf
Cd 112.41 Cd.upf
CELL_PARAMETERS angstrom
-2.597 3.255 -2.316
-4.249 -1.184 -1.801
-4.332 1.921 2.657
ATOMIC_POSITIONS angstrom
La -2.800 1.002 -0.354
Ag -4.146 1.809 2.291
Ag -8.509 3.070 -0.847
Cd -5.771 2.106 -0.372
```

Results
The calculation puts the density of states at the Fermi level at 3.3 states/eV/f.u. The calculation puts the formation energy from the elements at -194 meV per atom. Its total energy is -13.94 eV per cell.

Record 7
First-principles (PBEsol) data for an optimized crystal structure of YTl, as listed in Alexandria. Values from VASP.

```
&SYSTEM
  ibrav = 0, nat = 2, ntyp = 2
/
ATOMIC_SPECIES
Y 88.91 Y.upf
Tl 204.38 Tl.upf
CELL_PARAMETERS angstrom
-0.039 3.330 1.679
0.711 -1.641 3.272
3.661 0.355 -0.618
ATOMIC_POSITIONS angstrom
Y 0.000 0.000 0.000
Tl 2.166 1.022 2.167
```

Results
The calculation puts the density of states at the Fermi level at 1.8 states/eV/f.u. The calculation puts the formation energy from the elements at -459 meV per atom. Its total energy is -10.37 eV per cell.

Record 8
First-principles (PBEsol) data for an optimized crystal structure of Ba2Pt, as listed in Alexandria. Values from VASP.

```
&SYSTEM
  ibrav = 0, nat = 3, ntyp = 2
/
ATOMIC_SPECIES
Ba 137.33 Ba.upf
Pt 195.08 Pt.upf
CELL_PARAMETERS angstrom
-3.595 -2.639 0.832
2.965 0.904 3.312
-3.886 5.884 1.873
ATOMIC_POSITIONS angstrom
Ba -0.412 0.624 0.199
Ba -1.400 3.022 3.535
Pt -2.704 0.504 2.283
```

Results
The calculation puts the density of states at the Fermi level at 1.3 states/eV/f.u. The calculation puts the formation energy from the elements at -544 meV per atom. Its total energy is -12.89 eV per cell.

Record 9
First-principles (PBEsol) data for an optimized crystal structure of MgTl2Hg, as listed in Alexandria. Values from VASP.

```
&SYSTEM
  ibrav = 0, nat = 4, ntyp = 3
/
ATOMIC_SPECIES
Hg 200.59 Hg.upf
Mg 24.30 Mg.upf
Tl 204.38 Tl.upf
CELL_PARAMETERS angstrom
4.584 0.000 0.000
0.000 4.584 0.000
-2.292 -2.292 4.699
ATOMIC_POSITIONS angstrom
Hg 2.292 2.292 0.000
Mg 0.000 2.292 2.349
Tl 0.000 0.000 0.000
Tl 2.292 0.000 2.349
```

Results
The calculation puts the density of states at the Fermi level at 1.9 states/eV/f.u. The calculation puts the formation energy from the elements at -45 meV per atom. Its total energy is -7.72 eV per cell.

Record 10
First-principles (PBEsol) data for an optimized crystal structure of AlReHg2, as listed in Alexandria. Values from VASP.

```
&SYSTEM
  ibrav = 0, nat = 4, ntyp = 3
/
ATOMIC_SPECIES
Re 186.21 Re.upf
Hg 200.59 Hg.upf
Al 26.98 Al.upf
CELL_PARAMETERS angstrom
-3.183 -0.010 0.378
0.136 -3.021 1.061
0.758 2.297 6.442
ATOMIC_POSITIONS angstrom
Re 0.411 1.246 3.494
Hg 0.742 2.247 6.303
Hg -1.317 -0.889 2.476
Al -0.988 0.107 5.271
```

Results
The calculation puts the density of states at the Fermi level at 2.9 states/eV/f.u. The calculation puts the formation energy from the elements at 387 meV per atom. Its total energy is -17.01 eV per cell.

Record 11
First-principles (PBEsol) data for an optimized crystal structure of TaCr2Br, as listed in Alexandria. Values from VASP.

```
&SYSTEM
  ibrav = 0, nat = 4, ntyp = 3
/
ATOMIC_SPECIES
Br 79.90 Br.upf
Cr 52.00 Cr.upf
Ta 180.95 Ta.upf
CELL_PARAMETERS angstrom
-0.866 1.655 3.106
0.856 -3.004 1.839
4.244 2.130 -2.067
ATOMIC_POSITIONS angstrom
Br 2.547 -0.774 1.123
Cr 0.000 0.000 0.000
Cr 1.687 1.556 1.756
Ta -0.005 -0.674 2.473
```

Results
The calculation puts the density of states at the Fermi level at 3.0 states/eV/f.u. Its uncorrected formation energy is 0.827 eV per atom. The value obtained for the energy above the lowest structure with this stoichiometry is 426 meV/atom. Its total energy is -31.60 eV per cell.

Record 12
First-principles (PBEsol) data for an optimized crystal structure of Tl2Se, as listed in Alexandria. Values from VASP.

```
&SYSTEM
  ibrav = 0, nat = 6, ntyp = 2
/
ATOMIC_SPECIES
Tl 204.38 Tl.upf
Se 78.96 Se.upf
CELL_PARAMETERS angstrom
5.257 0.000 0.000
0.000 5.102 0.000
0.000 0.000 7.284
ATOMIC_POSITIONS angstrom
Tl 0.000 2.550 5.438
Tl 0.000 2.552 1.846
Tl 2.628 0.001 1.796
Tl 2.628 5.101 5.488
Se 0.000 0.000 0.000
Se 2.628 2.551 3.642
```

Results
The calculation puts the density of states at the Fermi level at 0.1 states/eV/f.u. Its uncorrected formation energy is -0.232 eV per atom. The value obtained for the energy above the lowest structure with this stoichiometry is 75 meV/atom. Its total energy is -19.61 eV per cell.

Q: What is the density of states at the Fermi level in the fifth record?
A: 2.7 states/eV/f.u.